# 1
Compound: ScGe2Mo2
Source: Alexandria via LeMat-Bulk
Functional: PBE
Structure: optimized geometry

Values from the calculation:
DOS at the Fermi energy in states/eV per cell: 7.99
ΔH_f (0 K) in eV per atom: -0.283
Total magnetization in μB per cell: 0.00
Excess energy over the best structure of this formula in the dataset in meV per atom: 0.0

a b c (Å): 7.062 7.062 3.316
angles (deg): 90.00 90.00 90.00
Positions (direct):
Sc 0.000 0.000 0.000
Sc 0.500 0.500 0.000
Mo 0.153 0.653 0.500
Mo 0.653 0.847 0.500
Mo 0.847 0.347 0.500
Mo 0.347 0.153 0.500
Ge 0.360 0.860 0.000
Ge 0.860 0.640 0.000
Ge 0.640 0.140 0.000
Ge 0.140 0.360 0.000

# 2
Compound: ScGeMo
Source: Alexandria via LeMat-Bulk
Functional: PBE
Structure: optimized geometry

Values from the calculation:
DOS at the Fermi energy in states/eV per cell: 10.22
ΔH_f (0 K) in eV per atom: -0.264
Total magnetization in μB per cell: 0.00

a b c (Å): 4.520 7.232 7.232
angles (deg): 90.00 90.00 90.00
Positions (direct):
Sc 0.500 0.782 0.549
Sc 0.000 0.451 0.782
Sc 0.000 0.549 0.218
Sc 0.500 0.218 0.451
Ge 0.500 0.331 0.080
Ge 0.000 0.920 0.331
Ge 0.000 0.080 0.669
Ge 0.500 0.669 0.920
Mo 0.500 0.933 0.163
Mo 0.500 0.067 0.837
Mo 0.000 0.163 0.067
Mo 0.000 0.837 0.933

# 3
Compound: ScGe8Mo6
Source: Alexandria via LeMat-Bulk
Functional: PBE
Structure: optimized geometry

Values from the calculation:
DOS at the Fermi energy in states/eV per cell: 9.79
ΔH_f (0 K) in eV per atom: 0.110
Total magnetization in μB per cell: 0.00

a b c (Å): 6.498 6.498 6.498
angles (deg): 79.40 79.40 79.40
Positions (direct):
Sc 0.000 0.000 0.000
Ge 0.763 0.763 0.763
Ge 0.237 0.237 0.237
Ge 0.600 0.918 0.185
Ge 0.918 0.185 0.600
Ge 0.185 0.600 0.918
Ge 0.400 0.082 0.815
Ge 0.082 0.815 0.400
Ge 0.815 0.400 0.082
Mo 0.576 0.413 0.795
Mo 0.413 0.795 0.576
Mo 0.795 0.576 0.413
Mo 0.424 0.587 0.205
Mo 0.587 0.205 0.424
Mo 0.205 0.424 0.587

no.,calculated total energy (eV per cell)
1,-77.29
2,-90.29
3,-106.61